(1)
First-principles (PBE) data for crystalline K3Te at its relaxed geometry, as listed in the Alexandria database.

Unit cell a=6.3008 b=6.3008 c=6.3008 alpha=60.00 beta=60.00 gamma=60.00
With the nearest neighbours (Å) after each atom.
Sites, in units of the cell vectors:
K: 0.0000 0.0000 0.0000  4 K 3.86, 4 Te 3.86
K: 0.2500 0.2500 0.2500  8 K 3.86
K: 0.5000 0.5000 0.5000  4 Te 3.86, 4 K 3.86
Te: 0.7500 0.7500 0.7500  8 K 3.86

Output
E_form (uncorrected) ... -516 meV per atom
E above lowest polymorph ... 128 meV per atom
Space group ... Fm-3m

(2)
First-principles (PBE) data for crystalline Tl3GaAu at its relaxed geometry, as listed in the Alexandria database.

Unit cell a=5.5322 b=5.5322 c=5.5322 alpha=90.00 beta=90.00 gamma=90.00
With the nearest neighbours (Å) after each atom.
Sites, in units of the cell vectors:
Tl: 0.0000 0.5000 0.0000  2 Au 2.77
Tl: 0.5000 0.0000 0.0000  2 Au 2.77
Tl: 0.0000 0.0000 0.5000  2 Au 2.77
Ga: 0.5000 0.5000 0.5000  12 Tl 3.91
Au: 0.0000 0.0000 0.0000  6 Tl 2.77

Output
E above lowest polymorph ... 0 meV per atom
Space group ... Pm-3m
Calculated formation energy ... 0.287 eV per atom

(3)
First-principles (PBE) data for crystalline TbAgPdRh at its relaxed geometry, as listed in the Alexandria database.

Unit cell a=3.8950 b=4.2122 c=4.3729 alpha=90.00 beta=90.00 gamma=90.00
With the nearest neighbours (Å) after each atom.
Sites, in units of the cell vectors:
Ag: 0.0000 0.5000 0.5000  4 Pd 2.87, 4 Rh 2.93, 4 Tb 3.04
Pd: 0.5000 0.0000 0.5000  4 Ag 2.87, 4 Tb 2.93, 4 Rh 3.04
Tb: 0.0000 0.0000 0.0000  4 Rh 2.87, 4 Pd 2.93, 4 Ag 3.04
Rh: 0.5000 0.5000 0.0000  4 Tb 2.87, 4 Ag 2.93, 4 Pd 3.04

Output
E above lowest polymorph ... 0 meV per atom
Space group ... Pmmm
Calculated formation energy ... -0.591 eV per atom

(4)
First-principles (PBE) data for crystalline CuRe2Te at its relaxed geometry, as listed in the Alexandria database.

Unit cell a=9.2520 b=9.2520 c=9.2520 alpha=18.19 beta=18.19 gamma=18.19
With the nearest neighbours (Å) after each atom.
Sites, in units of the cell vectors:
Re: 0.2580 0.2580 0.2580  9 Re 2.64-2.93
Re: 0.9988 0.9988 0.9988  9 Re 2.64-2.93, 3 Cu 2.72
Te: 0.4993 0.4993 0.4993  6 Te 2.93, 3 Cu 2.95, 3 Re 3.03
Cu: 0.7438 0.7438 0.7438  3 Re 2.72, 6 Cu 2.93, 3 Te 2.95

Output
E_form (uncorrected) ... 540 meV per atom
Space group ... R3m

(5)
First-principles (PBE) data for crystalline Li4La2Tl3 at its relaxed geometry, as listed in the Alexandria database.

Unit cell a=7.0201 b=7.3107 c=9.1495 alpha=90.00 beta=112.56 gamma=90.00
With the nearest neighbours (Å) after each atom.
Sites, in units of the cell vectors:
Li: 0.6635 0.4952 0.3270  5 Tl 2.76-3.08
Li: 0.1635 0.0048 0.3270  5 Tl 2.76-3.08
Li: 0.8365 0.9952 0.6730  5 Tl 2.76-3.08
Li: 0.8000 0.2500 0.1000  2 Tl 2.67
Li: 0.2000 0.7500 0.9000  2 Tl 2.67
Li: 0.7000 0.7500 0.9000  2 Tl 2.67
Li: 0.3000 0.2500 0.1000  2 Tl 2.67
Li: 0.3365 0.5048 0.6730  5 Tl 2.76-3.08
Tl: 0.5000 0.5000 0.0000  6 Li 2.67-2.76
Tl: 0.0153 0.7500 0.5306  4 Li 2.78-3.08
Tl: 0.0000 0.0000 0.0000  6 Li 2.67-2.76
Tl: 0.5153 0.7500 0.5306  4 Li 2.78-3.08
Tl: 0.9847 0.2500 0.4694  4 Li 2.78-3.08
Tl: 0.4847 0.2500 0.4694  4 Li 2.78-3.08
La: 0.8818 0.4339 0.7635  3 Li 3.12-3.30, 2 Tl 3.33
La: 0.3818 0.0661 0.7635  3 Li 3.12-3.30, 2 Tl 3.33
La: 0.6182 0.9339 0.2365  3 Li 3.12-3.30, 2 Tl 3.33
La: 0.1182 0.5661 0.2365  3 Li 3.12-3.30, 2 Tl 3.33

Output
Space group ... Cmce
Calculated formation energy ... -0.233 eV per atom

(6)
First-principles (PBE) data for crystalline TiHRu2W at its relaxed geometry, as listed in the Alexandria database.

Unit cell a=3.9857 b=3.9857 c=3.8717 alpha=90.00 beta=90.00 gamma=90.00
With the nearest neighbours (Å) after each atom.
Sites, in units of the cell vectors:
Ru: 0.5000 0.0000 0.0000  2 H 1.99
Ru: 0.0000 0.5000 0.0000  2 H 1.99
H: 0.0000 0.0000 0.0000  2 Ti 1.94, 4 Ru 1.99
Ti: 0.0000 0.0000 0.5000  2 H 1.94
W: 0.5000 0.5000 0.5000  8 Ru 2.78, 4 Ti 2.82

Output
Space group ... P4/mmm
E_tot ... -43.3 eV per cell

(7)
First-principles (PBE) data for crystalline KZrIn at its relaxed geometry, as listed in the Alexandria database.

Unit cell a=12.8197 b=3.7700 c=4.6708 alpha=90.00 beta=100.34 gamma=90.00
With the nearest neighbours (Å) after each atom.
Sites, in units of the cell vectors:
K: 0.3485 0.7500 0.6737  2 In 3.66, 2 K 3.77, 2 Zr 3.97-3.98
K: 0.6515 0.2500 0.3263  2 In 3.66, 2 K 3.77, 2 Zr 3.97-3.98
Zr: 0.0935 0.7500 0.0459  4 In 3.00, 2 Zr 3.02
Zr: 0.9065 0.2500 0.9541  4 In 3.00, 2 Zr 3.02
In: 0.9006 0.7500 0.4514  4 Zr 3.00, 2 In 3.14
In: 0.0994 0.2500 0.5486  4 Zr 3.00, 2 In 3.14

Output
E above lowest polymorph ... 85 meV per atom
Space group ... P2_1/m
Calculated formation energy ... 0.033 eV per atom

(8)
First-principles (PBE) data for crystalline CaPuGaPd at its relaxed geometry, as listed in the Alexandria database.

Unit cell a=5.0627 b=5.0627 c=5.0627 alpha=60.00 beta=60.00 gamma=60.00
With the nearest neighbours (Å) after each atom.
Sites, in units of the cell vectors:
Pu: 0.7500 0.7500 0.7500  4 Pd 3.10, 4 Ga 3.10
Ga: 0.0000 0.0000 0.0000  4 Pu 3.10, 4 Ca 3.10
Pd: 0.5000 0.5000 0.5000  4 Pu 3.10, 4 Ca 3.10
Ca: 0.2500 0.2500 0.2500  4 Pd 3.10, 4 Ga 3.10

Output
Space group ... F-43m
Calculated formation energy ... -0.364 eV per atom

(9)
First-principles (PBE) data for crystalline Sc2InSe at its relaxed geometry, as listed in the Alexandria database.

Unit cell a=4.9772 b=4.9772 c=4.9772 alpha=60.00 beta=60.00 gamma=60.00
With the nearest neighbours (Å) after each atom.
Sites, in units of the cell vectors:
Se: 0.0000 0.0000 0.0000  8 Sc 3.05
Sc: 0.7500 0.7500 0.7500  4 Se 3.05, 4 In 3.05
Sc: 0.2500 0.2500 0.2500  4 In 3.05, 4 Se 3.05
In: 0.5000 0.5000 0.5000  8 Sc 3.05

Output
E_form (uncorrected) ... -542 meV per atom
E above lowest polymorph ... 446 meV per atom
Space group ... Fm-3m

(10)
First-principles (PBE) data for crystalline CeCuHg2 at its relaxed geometry, as listed in the Alexandria database.

Unit cell a=3.3812 b=3.3812 c=7.5907 alpha=90.00 beta=90.00 gamma=90.00
With the nearest neighbours (Å) after each atom.
Sites, in units of the cell vectors:
Hg: 0.0000 0.0000 0.7967  4 Cu 2.85, 1 Hg 3.09
Hg: 0.0000 0.0000 0.2033  4 Cu 2.85, 1 Hg 3.09
Ce: 0.5000 0.5000 0.5000  8 Hg 3.28, 4 Ce 3.38
Cu: 0.5000 0.5000 0.0000  8 Hg 2.85

Output
Space group ... P4/mmm
Calculated formation energy ... -0.089 eV per atom

(11)
First-principles (PBE) data for crystalline Ho6Er19Sc4 at its relaxed geometry, as listed in the Alexandria database.

Unit cell a=10.5702 b=10.5699 c=10.5713 alpha=109.47 beta=109.47 gamma=109.47
With the nearest neighbours (Å) after each atom.
Sites, in units of the cell vectors:
Sc: 0.0000 0.6457 0.0000  9 Er 3.22-3.36
Sc: 0.6457 0.0000 0.0000  9 Er 3.22-3.36
Sc: 0.3543 0.3543 0.3543  9 Er 3.22-3.36
Sc: 0.0000 0.0000 0.6457  9 Er 3.22-3.36
Er: 0.4638 0.6748 0.6576  1 Ho 3.15, 4 Er 3.27-3.50, 2 Sc 3.28-3.36
Er: 0.5362 0.1938 0.2110  1 Ho 3.15, 4 Er 3.27-3.50, 2 Sc 3.28-3.36
Er: 0.3252 0.7890 0.9828  1 Ho 3.15, 4 Er 3.27-3.50, 2 Sc 3.28-3.36
Er: 0.9828 0.3252 0.7890  1 Ho 3.15, 4 Er 3.27-3.50, 2 Sc 3.28-3.36
Er: 0.6748 0.6576 0.4638  1 Ho 3.15, 4 Er 3.27-3.50, 2 Sc 3.28-3.36
Er: 0.7402 0.0000 0.7402  5 Er 3.17-3.47, 2 Sc 3.22, 2 Ho 3.33
Er: 0.1938 0.2110 0.5362  1 Ho 3.15, 4 Er 3.27-3.50, 2 Sc 3.28-3.36
Er: 0.2598 0.2598 0.0000  5 Er 3.17-3.47, 2 Sc 3.22, 2 Ho 3.33
Er: 0.0172 0.8062 0.3424  1 Ho 3.15, 4 Er 3.27-3.50, 2 Sc 3.28-3.36
Er: 0.8062 0.3424 0.0172  1 Ho 3.15, 4 Er 3.27-3.50, 2 Sc 3.28-3.36
Er: 0.7402 0.7402 0.0000  5 Er 3.17-3.47, 2 Sc 3.22, 2 Ho 3.33
Er: 0.2110 0.5362 0.1938  1 Ho 3.15, 4 Er 3.27-3.50, 2 Sc 3.28-3.36
Er: 0.3424 0.0172 0.8062  1 Ho 3.15, 4 Er 3.27-3.50, 2 Sc 3.28-3.36
Er: 0.0000 0.0000 0.0000  6 Er 3.17
Er: 0.6576 0.4638 0.6748  1 Ho 3.15, 4 Er 3.27-3.50, 2 Sc 3.28-3.36
Er: 0.7890 0.9828 0.3251  1 Ho 3.15, 4 Er 3.27-3.50, 2 Sc 3.28-3.36
Er: 0.0000 0.7402 0.7402  5 Er 3.17-3.47, 2 Sc 3.22, 2 Ho 3.33
Er: 0.0000 0.2598 0.2598  5 Er 3.17-3.47, 2 Sc 3.22, 2 Ho 3.33
Er: 0.2598 0.0000 0.2598  5 Er 3.17-3.47, 2 Sc 3.22, 2 Ho 3.33
Ho: 0.5000 0.1291 0.6291  4 Er 3.15-3.33, 1 Ho 3.15
Ho: 0.6291 0.5000 0.1291  4 Er 3.15-3.33, 1 Ho 3.15
Ho: 0.5000 0.8709 0.3709  4 Er 3.15-3.33, 1 Ho 3.15
Ho: 0.8709 0.3709 0.5000  4 Er 3.15-3.33, 1 Ho 3.15
Ho: 0.3709 0.5000 0.8709  4 Er 3.15-3.33, 1 Ho 3.15
Ho: 0.1291 0.6291 0.5000  4 Er 3.15-3.33, 1 Ho 3.15

Output
Space group ... I23
Calculated formation energy ... 0.388 eV per atom

(12)
First-principles (PBE) data for crystalline TeIrPdN2 at its relaxed geometry, as listed in the Alexandria database.

Unit cell a=3.7658 b=3.7658 c=7.3290 alpha=90.00 beta=90.00 gamma=90.00
With the nearest neighbours (Å) after each atom.
Sites, in units of the cell vectors:
N: 0.0000 0.5000 0.0000  2 Pd 1.88
N: 0.5000 0.0000 0.0000  2 Pd 1.88
Ir: 0.5000 0.5000 0.5000  4 Te 2.66
Te: 0.0000 0.0000 0.5000  4 Ir 2.66
Pd: 0.0000 0.0000 0.0000  4 N 1.88

Output
E_form (uncorrected) ... 1713 meV per atom
E above lowest polymorph ... 982 meV per atom
Space group ... P4/mmm

no.,mass density (Mg/m³)
1,2.30
2,8.63
3,11.02
4,13.88
5,7.04
6,11.74
7,3.67
8,8.33
9,5.40
10,11.57
11,7.94
12,7.26